The following is a DFT calculation (PBE+U) of a relaxed TaCo2O crystal.

Lattice parameters (Å, degrees): 5.4656 5.4656 7.4133 90.00 90.00 90.00
Space group I-42d (No. 122)
Unique sites:
1 Ta 0.0000 0.0000 0.0000 [4 per cell]
2 Co 0.1587 0.2500 0.6250 [8 per cell]
3 O 0.0000 0.0000 0.5000 [4 per cell]

## Properties
E in eV per cell: -101.408
Total magnetic moment in μB per formula unit: 2.11
Fermi-level density of states in states/eV/atom: 0.890